# 1
First-principles (GGA-PBEsol) data for crystalline BaRe2Pt2 at its relaxed geometry, as listed in Alexandria.

a = 4.532 Å, b = 4.532 Å, c = 10.041 Å
α = 90.00°, β = 90.00°, γ = 90.00°
Space group I4/mmm (No. 139)
Unique sites:
Ba (0.000, 0.000, 0.000) x2
Re (0.000, 0.000, 0.384) x4
Pt (0.000, 0.500, 0.250) x4

Results
Energy relative to the elements   1.927 eV/f.u.
V   103.09 Å³/f.u.
Theoretical density   14.495 Mg/m³

***

# 2
First-principles (GGA-PBEsol) data for crystalline BaRe2Pt at its relaxed geometry, as listed in Alexandria.

a = 4.2666 Å, b = 4.2666 Å, c = 18.2405 Å
α = 90.00°, β = 90.00°, γ = 120.00°
Space group R3m (No. 160, hexagonal axes)
Unique sites:
Ba (0.0000, 0.0000, 0.0000) x3
Re (0.0000, 0.0000, 0.4839) x3
Re (0.0000, 0.0000, 0.8074) x3
Pt (0.0000, 0.0000, 0.2098) x3

Results
Energy relative to the elements   1.559 eV/f.u.
V   95.86 Å³/f.u.
Theoretical density   12.210 Mg/m³

***

# 3
First-principles (GGA-PBEsol) data for crystalline BaRePt2 at its relaxed geometry, as listed in Alexandria.

a = 6.853 Å, b = 6.853 Å, c = 6.853 Å
α = 90.00°, β = 90.00°, γ = 90.00°
Space group Fm-3m (No. 225)
Unique sites:
Ba (0.000, 0.000, 0.000) x4
Re (0.000, 0.000, 0.500) x4
Pt (0.250, 0.250, 0.250) x8

Results
Energy relative to the elements   3.383 eV/f.u.
V   80.45 Å³/f.u.
Theoretical density   14.731 Mg/m³

***

# 4
First-principles (GGA-PBEsol) data for crystalline BaRe2Pt at its relaxed geometry, as listed in Alexandria.

a = 3.231 Å, b = 5.582 Å, c = 9.630 Å
α = 90.00°, β = 90.00°, γ = 90.00°
Space group Imm2 (No. 44)
Unique sites:
Ba (0.000, 0.000, 0.000) x2
Re (0.000, 0.000, 0.507) x2
Re (0.000, 0.500, 0.186) x2
Pt (0.000, 0.500, 0.795) x2

Results
Energy relative to the elements   3.666 eV/f.u.
V   86.84 Å³/f.u.
Theoretical density   13.478 Mg/m³

***

# 5
First-principles (GGA-PBEsol) data for crystalline BaRe2Pt at its relaxed geometry, as listed in Alexandria.

a = 2.829 Å, b = 4.125 Å, c = 7.090 Å
α = 90.00°, β = 90.00°, γ = 90.00°
Space group Pmmm (No. 47)
Unique sites:
Ba (0.000, 0.000, 0.000) x1
Re (0.500, 0.500, 0.337) x2
Pt (0.000, 0.000, 0.500) x1

Results
Energy relative to the elements   3.311 eV/f.u.
V   82.75 Å³/f.u.
Theoretical density   14.144 Mg/m³

***

# 6
First-principles (GGA-PBEsol) data for crystalline BaRePt2 at its relaxed geometry, as listed in Alexandria.

a = 2.961 Å, b = 2.961 Å, c = 8.676 Å
α = 90.00°, β = 90.00°, γ = 90.00°
Space group P4/mmm (No. 123)
Unique sites:
Ba (0.000, 0.000, 0.000) x1
Re (0.000, 0.000, 0.500) x1
Pt (0.500, 0.500, 0.306) x2

Results
Energy relative to the elements   0.580 eV/f.u.
V   76.08 Å³/f.u.
Theoretical density   15.578 Mg/m³

***

Q: energy relative to the elements of number 4 (BaRe2Pt)?
A: 3.666 eV/f.u.